Run P
IrPbCl PBE-GGA optimized geometry; calculated volume = 65 Å³/f.u.; crystal system = orthorhombic; size of the total moment = 0.000 μB/atom
1.0
0.0000 2.5208 6.1261
2.0949 0.0000 6.1261
2.0949 2.5208 0.0000
Ir Pb Cl
1 1 1
Direct
0.0000 0.0000 0.0000 Ir
0.6457 0.6457 0.3543 Pb
0.3587 0.3587 0.6413 Cl

=====

Run Q
IrPbCl PBE-GGA optimized geometry; calculated volume = 60 Å³/f.u.; crystal system = hexagonal; size of the total moment = 0.000 μB/atom
1.0
4.5413 0.0000 0.0000
-2.2706 3.9328 0.0000
0.0000 0.0000 3.3405
Ir Pb Cl
1 1 1
Direct
0.0000 0.0000 0.0000 Ir
0.6667 0.3333 0.5000 Pb
0.3333 0.6667 0.0000 Cl

=====

It is run Q that is the most stable of them.

=====

Run P
IrPbCl PBE-GGA optimized geometry; calculated volume = 64 Å³/f.u.; crystal system = tetragonal; size of the total moment = 0.000 μB/atom
1.0
-1.6236 1.6236 6.0958
1.6236 -1.6236 6.0958
1.6236 1.6236 -6.0958
Ir Pb Cl
1 1 1
Direct
0.0000 0.0000 0.0000 Ir
0.6431 0.6431 0.0000 Pb
0.3589 0.3589 0.0000 Cl

=====

Run Q
IrPbCl PBE-GGA optimized geometry; calculated volume = 68 Å³/f.u.; crystal system = cubic; size of the total moment = 0.000 μB/atom
1.0
0.0000 3.2418 3.2418
3.2418 0.0000 3.2418
3.2418 3.2418 0.0000
Ir Pb Cl
1 1 1
Direct
0.0000 0.0000 0.0000 Ir
0.2500 0.2500 0.2500 Pb
0.7500 0.7500 0.7500 Cl

=====

It is run Q that is the most stable of them.

=====

Run P
IrPbCl PBE-GGA optimized geometry; calculated volume = 63 Å³/f.u.; crystal system = orthorhombic; size of the total moment = 0.000 μB/atom
1.0
-1.6673 2.2861 4.1385
1.6673 -2.2861 4.1385
1.6673 2.2861 -4.1385
Ir Pb Cl
1 1 1
Direct
0.0000 0.0000 0.0000 Ir
0.3577 0.3577 0.0000 Pb
0.7141 0.7141 0.0000 Cl

=====

Run Q
IrPbCl PBE-GGA optimized geometry; calculated volume = 78 Å³/f.u.; crystal system = trigonal; size of the total moment = 0.000 μB/atom
1.0
4.1476 0.0000 0.0000
-2.0738 3.5920 0.0000
0.0000 0.0000 5.2521
Ir Pb Cl
1 1 1
Direct
0.0000 0.0000 0.0000 Ir
0.6667 0.3333 0.2027 Pb
0.3333 0.6667 0.7361 Cl

=====

It is run Q that is the most stable of them.